1.
CuNi2Ru after structural relaxation, computed with PBE.

Unit cell a=2.5977 b=2.5977 c=24.7977 alpha=90.00 beta=90.00 gamma=120.00
Space group R3m (No. 160, hexagonal axes)
One atom of each set of equivalent atoms:
Cu: 0.0000 0.0000 0.0000 x3
Ni: 0.0000 0.0000 0.2506 x3
Ni: 0.0000 0.0000 0.4160 x3
Ru: 0.0000 0.0000 0.8332 x3

Summary:
* calculated total energy: -6.136 eV per atom



2.
KSm2Br2F5 after structural relaxation, computed with PBE.

Unit cell a=10.314 b=10.314 c=3.579 alpha=90.00 beta=90.00 gamma=90.00
Space group P4/mbm (No. 127)
One atom of each set of equivalent atoms:
K: 0.000 0.000 0.000 x2
Sm: 0.128 0.372 0.000 x4
Br: 0.168 0.668 0.000 x4
F: 0.000 0.500 0.500 x2
F: 0.078 0.236 0.500 x8

Summary:
* formation energy from raw total energies: -31.29 eV/f.u.
* calculated total energy: -5.452 eV per atom



3.
AcLaSm6Dy2 after structural relaxation, computed with PBE.

Unit cell a=9.341 b=15.502 c=9.832 alpha=90.00 beta=96.19 gamma=90.00
Space group C2/c (No. 15)
One atom of each set of equivalent atoms:
Ac: 0.000 0.031 0.250 x4
La: 0.000 0.408 0.750 x4
Sm: 0.067 0.184 0.944 x8
Sm: 0.099 0.392 0.120 x8
Sm: 0.210 0.232 0.323 x8
Dy: 0.248 0.445 0.453 x8

Summary:
* calculated total energy: -4.532 eV per atom



4.
YRhBr2 after structural relaxation, computed with PBE.

Unit cell a=6.925 b=6.925 c=6.925 alpha=90.00 beta=90.00 gamma=90.00
Space group Fm-3m (No. 225)
One atom of each set of equivalent atoms:
Y: 0.000 0.000 0.000 x4
Rh: 0.000 0.000 0.500 x4
Br: 0.250 0.250 0.250 x8

Summary:
* formation energy from raw total energies: -2.04 eV/f.u.
* calculated total energy: -4.802 eV per atom



5.
Y2AlSb after structural relaxation, computed with PBE.

Unit cell a=3.407 b=5.486 c=5.515 alpha=90.00 beta=90.00 gamma=90.00
Space group Pmmm (No. 47)
One atom of each set of equivalent atoms:
Y: 0.000 0.000 0.000 x1
Y: 0.000 0.500 0.500 x1
Al: 0.500 0.000 0.500 x1
Sb: 0.500 0.500 0.000 x1

Summary:
* formation energy from raw total energies: -2.01 eV/f.u.
* calculated total energy: -5.700 eV per atom



6.
Ga2GeIr2 after structural relaxation, computed with PBE.

Unit cell a=4.1229 b=4.1229 c=5.5592 alpha=90.00 beta=90.00 gamma=120.00
Space group P-3m1 (No. 164)
One atom of each set of equivalent atoms:
Ga: 0.3333 0.6667 0.1255 x2
Ge: 0.0000 0.0000 0.5000 x1
Ir: 0.3333 0.6667 0.6656 x2

Summary:
* calculated total energy: -5.992 eV per atom



7.
Ba3Ga2Pd6 after structural relaxation, computed with PBE.

Unit cell a=10.037 b=10.037 c=10.037 alpha=90.00 beta=90.00 gamma=90.00
Space group Im-3m (No. 229)
One atom of each set of equivalent atoms:
Ba: 0.000 0.000 0.298 x12
Ga: 0.250 0.250 0.250 x8
Pd: 0.000 0.321 0.321 x24

Summary:
* calculated total energy: -4.477 eV per atom



8.
Ca2CoTe after structural relaxation, computed with PBE.

Unit cell a=7.929 b=7.929 c=6.426 alpha=90.00 beta=90.00 gamma=90.00
Space group I-42d (No. 122)
One atom of each set of equivalent atoms:
Ca: 0.197 0.250 0.125 x8
Co: 0.000 0.000 0.000 x4
Te: 0.000 0.000 0.500 x4

Summary:
* formation energy from raw total energies: -0.43 eV/f.u.
* calculated total energy: -3.671 eV per atom



9.
YNbNCl2 after structural relaxation, computed with PBE.

Unit cell a=5.219 b=5.219 c=4.264 alpha=90.00 beta=90.00 gamma=90.00
Space group P4/mmm (No. 123)
One atom of each set of equivalent atoms:
Y: 0.000 0.000 0.000 x1
Nb: 0.500 0.500 0.000 x1
N: 0.000 0.000 0.500 x1
Cl: 0.000 0.500 0.500 x2

Summary:
* formation energy from raw total energies: 3.39 eV/f.u.
* calculated total energy: -5.032 eV per atom



10.
CuPbBr2 after structural relaxation, computed with PBE.

Unit cell a=14.774 b=3.861 c=4.924 alpha=90.00 beta=108.52 gamma=90.00
Space group Cm (No. 8)
One atom of each set of equivalent atoms:
Cu: 0.000 0.000 0.000 x2
Pb: 0.044 0.500 0.662 x2
Br: 0.160 0.000 0.354 x2
Br: 0.401 0.000 0.068 x2

Summary:
* formation energy from raw total energies: -1.29 eV/f.u.
* calculated total energy: -3.110 eV per atom



11.
Tl4CdBi3 after structural relaxation, computed with PBE.

Unit cell a=28.814 b=5.010 c=3.597 alpha=90.00 beta=96.52 gamma=90.00
Space group C2/m (No. 12)
One atom of each set of equivalent atoms:
Tl: 0.097 0.000 0.094 x4
Tl: 0.217 0.000 0.220 x4
Cd: 0.000 0.000 0.500 x2
Bi: 0.000 0.500 0.000 x2
Bi: 0.162 0.500 0.662 x4

Summary:
* calculated total energy: -2.693 eV per atom



12.
Na6GeI8 after structural relaxation, computed with PBE.

Unit cell a=12.981 b=12.981 c=12.981 alpha=90.00 beta=90.00 gamma=90.00
Space group Fm-3m (No. 225)
One atom of each set of equivalent atoms:
Na: 0.000 0.250 0.250 x24
Ge: 0.000 0.000 0.000 x4
I: 0.000 0.000 0.236 x24
I: 0.250 0.250 0.250 x8

Summary:
* formation energy from raw total energies: -16.05 eV/f.u.
* calculated total energy: -2.732 eV per atom



13.
CaCuAu after structural relaxation, computed with PBE.

Unit cell a=10.611 b=4.429 c=7.126 alpha=90.00 beta=131.78 gamma=90.00
Space group C2/m (No. 12)
One atom of each set of equivalent atoms:
Ca: 0.047 0.000 0.294 x4
Cu: 0.148 0.500 0.699 x4
Au: 0.176 0.500 0.124 x4

Summary:
* calculated total energy: -3.604 eV per atom



14.
Nd2Y7Th2 after structural relaxation, computed with PBE.

Unit cell a=11.207 b=11.625 c=6.145 alpha=90.00 beta=112.94 gamma=90.00
Space group C2/m (No. 12)
One atom of each set of equivalent atoms:
Nd: 0.000 0.217 0.000 x4
Y: 0.000 0.000 0.500 x2
Y: 0.172 0.238 0.669 x8
Y: 0.239 0.000 0.085 x4
Th: 0.086 0.500 0.308 x4

Summary:
* calculated total energy: -6.139 eV per atom



15.
Rb2MnBiS4 after structural relaxation, computed with PBE.

Unit cell a=8.277 b=8.285 c=8.555 alpha=64.67 beta=64.91 gamma=88.64
Space group P1 (No. 1)
One atom of each set of equivalent atoms:
Rb: 0.000 0.000 0.000 x1
Rb: 0.000 0.482 0.416 x1
Rb: 0.005 0.485 0.948 x1
Rb: 0.486 0.489 0.359 x1
Mn: 0.565 0.557 0.819 x1
Mn: 0.930 0.923 0.541 x1
Bi: 0.416 0.943 0.500 x1
Bi: 0.545 0.072 0.860 x1
S: 0.133 0.114 0.551 x1
S: 0.188 0.784 0.440 x1
S: 0.330 0.748 0.870 x1
S: 0.374 0.354 0.809 x1
S: 0.705 0.300 0.919 x1
S: 0.723 0.735 0.891 x1
S: 0.739 0.158 0.490 x1
S: 0.752 0.766 0.468 x1

Summary:
* formation energy from raw total energies: -5.69 eV/f.u.
* calculated total energy: -4.648 eV per atom



16.
NpPt6 after structural relaxation, computed with PBE.

Unit cell a=9.530 b=9.533 c=5.403 alpha=90.00 beta=90.00 gamma=90.00
Space group Cmcm (No. 63)
One atom of each set of equivalent atoms:
Np: 0.000 0.249 0.250 x4
Pt: 0.000 0.047 0.750 x4
Pt: 0.000 0.455 0.750 x4
Pt: 0.204 0.250 0.750 x8
Pt: 0.250 0.000 0.000 x8

Summary:
* calculated total energy: -7.384 eV per atom



17.
MnBeZn4 after structural relaxation, computed with PBE.

Unit cell a=6.984 b=6.984 c=6.984 alpha=90.00 beta=90.00 gamma=90.00
Space group F-43m (No. 216)
One atom of each set of equivalent atoms:
Mn: 0.000 0.000 0.000 x4
Be: 0.250 0.250 0.250 x4
Zn: 0.125 0.125 0.625 x16

Summary:
* calculated total energy: -2.724 eV per atom



18.
NdMg3 after structural relaxation, computed with PBE.

Unit cell a=5.239 b=5.239 c=7.433 alpha=90.00 beta=90.00 gamma=90.00
Space group I4/mmm (No. 139)
One atom of each set of equivalent atoms:
Nd: 0.000 0.000 0.000 x2
Mg: 0.000 0.000 0.500 x2
Mg: 0.000 0.500 0.250 x4

Summary:
* calculated total energy: -2.515 eV per atom



19.
TbGd2Th after structural relaxation, computed with PBE.

Unit cell a=5.033 b=5.033 c=5.081 alpha=90.00 beta=90.00 gamma=90.00
Space group P4/mmm (No. 123)
One atom of each set of equivalent atoms:
Tb: 0.000 0.000 0.000 x1
Gd: 0.000 0.500 0.500 x2
Th: 0.500 0.500 0.000 x1

Summary:
* calculated total energy: -10.012 eV per atom



20.
K3InSb after structural relaxation, computed with PBE.

Unit cell a=6.700 b=6.700 c=6.700 alpha=90.00 beta=90.00 gamma=90.00
Space group Pm-3m (No. 221)
One atom of each set of equivalent atoms:
K: 0.000 0.000 0.500 x3
In: 0.500 0.500 0.500 x1
Sb: 0.000 0.000 0.000 x1

Summary:
* formation energy from raw total energies: 0.33 eV/f.u.
* calculated total energy: -1.964 eV per atom